Entry from Alexandria: a crystal of K3NbSe4 relaxed with PBEsol (SCAN).

The density of states at the Fermi level comes out at 0.0 states/eV/cell. The formation energy from raw total energies comes out at -1293.1 meV per atom. The calculation puts the total energy at -595.099 eV per cell.

The space group is Pnma (No. 62) and the conventional cell measures 9.576, 10.936 and 9.669 Å, with angles of 90.00, 90.00 and 90.00 degrees. Symmetry generates all atoms from K at (0.057, 0.047, 0.207), K at (0.130, 0.750, 0.414), Nb at (0.215, 0.750, 0.986), Se at (0.015, 0.250, 0.913), Se at (0.162, 0.068, 0.553) and Se at (0.191, 0.750, 0.739).